No. 1
The following is a PBE calculation of an optimized crystal structure of Pr3SmIr, from Alexandria via LeMat-Bulk.

Computed properties:
The space-group type is Pmn2_1 (31). As for the crystal system: orthorhombic. For the energy above the most stable polymorph in this dataset, the calculation gives 1.3 meV/atom. The value obtained for the density of states at the Fermi level is 12.9 states/eV per cell.

```
Pr3SmIr
1.0
-5.203 -3.835 0.167
2.016 -2.476 5.925
-4.072 5.689 3.762
Pr Sm Ir
6 2 2
Cartesian
-2.346 -1.291 2.781
-4.345 1.636 8.752
-5.658 -2.206 4.755
-7.602 0.395 2.926
-7.702 0.649 6.644
-2.316 -1.197 6.877
-4.411 1.510 4.696
-5.617 -2.465 1.012
-2.413 1.644 6.655
-2.966 -3.133 4.894
```



No. 2
The following is a PBE calculation of an optimized crystal structure of PrSm5Ir4, from Alexandria via LeMat-Bulk.

Computed properties:
The space-group type is C2/m (12). As for the crystal system: monoclinic. The value obtained for the density of states at the Fermi level is 4.6 states/eV per cell.

```
PrSm5Ir4
1.0
4.344 0.000 0.000
0.000 7.482 -1.263
-2.172 -2.354 8.931
Pr Sm Ir
1 5 4
Cartesian
2.172 0.000 0.000
2.172 2.858 5.223
2.172 -1.003 5.874
0.000 6.131 1.794
2.172 3.741 -0.632
0.000 2.270 2.445
0.000 4.576 4.361
0.000 5.509 -0.930
2.172 0.553 3.307
2.172 -0.380 8.598
```



No. 3
The following is a PBE calculation of an optimized crystal structure of Pr2SmIr, from Alexandria via LeMat-Bulk.

Computed properties:
The space-group type is Pnma (62). As for the crystal system: orthorhombic. For the energy above the most stable polymorph in this dataset, the calculation gives 0.0 meV/atom. The value obtained for the density of states at the Fermi level is 19.1 states/eV per cell.

```
Pr2SmIr
1.0
-2.539 -3.765 -4.695
-3.850 -3.742 5.083
-7.582 6.399 -1.032
Pr Sm Ir
8 4 4
Cartesian
-3.544 -2.756 2.560
-4.800 0.882 -1.090
-7.641 -0.704 -2.826
-11.958 0.362 0.066
-10.427 1.647 -3.205
-9.171 -1.990 0.445
-6.330 -0.404 2.181
-2.013 -1.470 -0.711
-5.610 -2.853 -0.574
-4.200 -1.745 -4.067
-8.360 1.744 -0.071
-9.771 0.637 3.422
-3.492 -0.022 1.413
-6.411 -3.368 2.116
-10.479 -1.086 -2.058
-7.560 2.259 -2.761
```



No. 4
The following is a PBE calculation of an optimized crystal structure of Pr3SmIr2, from Alexandria via LeMat-Bulk.

Computed properties:
The space-group type is C2/m (12). As for the crystal system: monoclinic. For the energy above the most stable polymorph in this dataset, the calculation gives 0.0 meV/atom. The value obtained for the density of states at the Fermi level is 10.6 states/eV per cell.

```
Pr3SmIr2
1.0
-2.532 3.392 -1.258
-3.273 -2.409 -7.658
-9.923 -4.075 1.233
Pr Sm Ir
6 2 4
Cartesian
-8.220 -3.263 -0.005
-7.509 0.171 -7.678
-13.601 -3.359 -4.935
-2.127 0.268 -2.748
-10.614 -1.746 -6.600
-5.115 -1.345 -1.083
-9.265 -2.429 -3.405
-6.464 -0.662 -4.278
-11.950 -1.537 -3.346
-3.779 -1.554 -4.337
-7.922 -0.715 -1.486
-7.807 -2.376 -6.197
```



No. 5
The following is a PBE calculation of an optimized crystal structure of Pr2SmIr, from Alexandria via LeMat-Bulk.

Computed properties:
The space-group type is Pnna (52). As for the crystal system: orthorhombic. For the energy above the most stable polymorph in this dataset, the calculation gives 79.0 meV/atom. The value obtained for the density of states at the Fermi level is 14.8 states/eV per cell.

```
Pr2SmIr
1.0
6.533 0.000 0.000
0.000 6.951 -0.003
0.000 0.006 11.813
Pr Sm Ir
8 4 4
Cartesian
4.897 6.348 10.815
1.635 0.609 0.995
1.631 4.088 6.900
4.902 2.869 4.910
4.896 2.866 0.995
1.637 4.091 10.816
1.629 0.612 4.911
4.903 6.345 6.900
1.632 3.956 2.951
4.901 3.001 8.859
4.898 6.473 2.951
1.635 0.484 8.859
0.000 1.741 6.977
6.532 5.216 4.834
3.266 1.744 10.742
3.266 5.213 1.069
```



No. 6
The following is a PBE calculation of an optimized crystal structure of Pr2SmIr9, from Alexandria via LeMat-Bulk.

Computed properties:
The space-group type is R-3m (166). As for the crystal system: trigonal. The value obtained for the density of states at the Fermi level is 10.9 states/eV per cell.

```
Pr2SmIr9
1.0
-0.317 -2.979 -4.466
-2.236 -4.888 0.181
-8.787 0.940 -3.242
Pr Sm Ir
2 1 9
Cartesian
-5.873 -6.376 -5.044
-5.466 -0.550 -2.483
0.000 0.000 0.000
-10.457 -4.318 -6.092
-0.882 -2.608 -1.436
-5.669 -3.463 -3.764
-3.193 -3.089 -2.588
-3.349 -4.563 -4.796
-4.298 -5.506 -2.498
-8.146 -3.837 -4.940
-7.040 -1.420 -5.030
-7.989 -2.364 -2.732
```



Formation enthalpy at 0 K values (in meV/atom) by entry order: -230, -562, -440, -521, -361, -501.
Theoretical density values (in g/cm3) by entry order: 7.352, 9.947, 8.609, 8.564, 7.732, 16.131.